Record 1
Computed, not measured: a geometry-optimized NaTl12In3 structure at the PBE-GGA level of DFT.

a b c (Å): 4.791 4.791 20.601
angles (deg): 90.00 90.00 90.00
Atoms (fractional coordinates):
Tl1 0.500 0.000 0.374
Tl2 0.500 0.500 0.248
Tl3 0.500 0.500 0.752
Tl4 0.500 0.500 0.500
Tl5 0.500 0.000 0.626
Tl6 0.000 0.500 0.876
Tl7 0.500 0.000 0.876
Tl8 0.500 0.000 0.124
Tl9 0.000 0.500 0.374
Tl10 0.000 0.500 0.124
Tl11 0.000 0.500 0.626
Tl12 0.500 0.500 0.000
In1 0.000 0.000 0.758
In2 0.000 0.000 0.500
In3 0.000 0.000 0.242
Na1 0.000 0.000 0.000

Results
Crystal system: tetragonal
DFT formation energy (eV per atom): 0.0052

Record 2
Computed, not measured: a geometry-optimized Li3PrI6 structure at the PBE-GGA level of DFT.

a b c (Å): 4.489 17.339 12.702
angles (deg): 120.76 90.00 90.00
Atoms (fractional coordinates):
Li1 0.250 0.430 0.507
Li2 0.750 0.570 0.493
Li3 0.250 0.830 0.795
Li4 0.750 0.170 0.205
Li5 0.250 0.316 0.188
Li6 0.750 0.684 0.812
Pr1 0.250 0.931 0.272
Pr2 0.750 0.069 0.728
I1 0.250 0.760 0.952
I2 0.750 0.500 0.651
I3 0.750 0.240 0.048
I4 0.250 0.925 0.536
I5 0.250 0.210 0.763
I6 0.250 0.247 0.348
I7 0.750 0.075 0.464
I8 0.750 0.753 0.652
I9 0.750 0.790 0.237
I10 0.250 0.500 0.349
I11 0.750 0.984 0.127
I12 0.250 0.016 0.873

Results
Energy above the lowest structure with this stoichiometry (meV/atom): 0
Formation energy from raw total energies (meV/atom): -1273
Crystal system: monoclinic

Record 3
Computed, not measured: a geometry-optimized MnIrW4 structure at the PBE-GGA level of DFT.

a b c (Å): 5.201 5.201 5.201
angles (deg): 60.00 60.00 60.00
Each line ends with the local moment (μB).
Atoms (fractional coordinates):
Mn1 0.000 0.000 0.000  3.27
W1 0.374 0.374 0.374  -0.11
W2 0.374 0.879 0.374  -0.11
W3 0.879 0.374 0.374  -0.11
W4 0.374 0.374 0.879  -0.11
Ir1 0.750 0.750 0.750  -0.06

Results
Crystal system: cubic
DFT formation energy (eV per atom): 0.5072

Record 4
Computed, not measured: a geometry-optimized Ac7Pm5 structure at the PBE-GGA level of DFT.

a b c (Å): 3.885 10.221 13.054
angles (deg): 73.87 81.44 79.04
Atoms (fractional coordinates):
Pm1 0.831 0.832 0.507
Pm2 0.169 0.168 0.493
Pm3 0.308 0.639 0.746
Pm4 0.692 0.361 0.254
Pm5 0.000 0.000 0.000
Ac1 0.972 0.305 0.751
Ac2 0.358 0.028 0.255
Ac3 0.668 0.670 0.995
Ac4 0.332 0.330 0.005
Ac5 0.642 0.972 0.745
Ac6 0.028 0.695 0.249
Ac7 0.500 0.500 0.500

Results
Crystal system: monoclinic
DFT formation energy (eV per atom): 0.0365

Record 5
Computed, not measured: a geometry-optimized Nb2GeP structure at the PBE-GGA level of DFT.

a b c (Å): 5.723 5.723 7.011
angles (deg): 65.91 65.91 90.00
Atoms (fractional coordinates):
P1 0.500 0.500 0.000
P2 0.250 0.750 0.500
Nb1 0.375 0.394 0.750
Nb2 0.144 0.625 0.250
Nb3 0.875 0.856 0.750
Nb4 0.606 0.125 0.250
Ge1 0.000 0.000 0.000
Ge2 0.750 0.250 0.500

Results
Energy above the lowest structure with this stoichiometry (meV/atom): 720
Crystal system: tetragonal
DFT formation energy (eV per atom): 0.3792

Record 6
Computed, not measured: a geometry-optimized CsAgPt structure at the PBE-GGA level of DFT.

a b c (Å): 4.617 7.170 6.803
angles (deg): 64.80 89.85 71.33
Atoms (fractional coordinates):
Pt1 0.083 0.123 0.882
Pt2 0.511 0.270 0.714
Ag1 0.893 0.507 0.499
Ag2 0.701 0.886 0.097
Cs1 0.179 0.933 0.503
Cs2 0.416 0.460 0.093

Results
Energy above the lowest structure with this stoichiometry (meV/atom): 32
Crystal system: triclinic
DFT formation energy (eV per atom): -0.0026

Record 7
Computed, not measured: a geometry-optimized Li3GeP structure at the PBE-GGA level of DFT.

a b c (Å): 5.688 5.688 5.688
angles (deg): 79.27 79.27 79.27
Atoms (fractional coordinates):
Li1 0.581 0.905 0.348
Li2 0.905 0.348 0.581
Li3 0.405 0.081 0.848
Li4 0.348 0.581 0.905
Li5 0.848 0.405 0.081
Li6 0.081 0.848 0.405
Ge1 0.941 0.941 0.941
Ge2 0.441 0.441 0.441
P1 0.243 0.243 0.243
P2 0.743 0.743 0.743

Results
Energy above the lowest structure with this stoichiometry (meV/atom): 0
Crystal system: trigonal
DFT formation energy (eV per atom): -0.3172

Record 8
Computed, not measured: a geometry-optimized CeNiPt structure at the PBE-GGA level of DFT.

a b c (Å): 4.705 5.448 5.448
angles (deg): 81.75 64.42 64.42
Atoms (fractional coordinates):
Pt1 0.500 0.529 0.471
Pt2 0.000 0.094 0.906
Ni1 0.176 0.582 0.066
Ni2 0.824 0.934 0.418
Ce1 0.743 0.670 0.843
Ce2 0.257 0.157 0.330

Results
Crystal system: orthorhombic
DFT formation energy (eV per atom): -0.4195

Record 9
Computed, not measured: a geometry-optimized BaH3Pd structure at the PBE-GGA level of DFT.

a b c (Å): 6.289 5.724 3.790
angles (deg): 90.00 90.00 87.98
Atoms (fractional coordinates):
H1 0.097 0.442 0.694
H2 0.926 0.201 0.694
H3 0.511 0.822 0.694
H4 0.311 0.599 0.194
H5 0.712 0.044 0.194
H6 0.511 0.322 0.694
Pd1 0.699 0.052 0.694
Pd2 0.324 0.592 0.694
Ba1 0.785 0.549 0.194
Ba2 0.237 0.094 0.194

Results
Crystal system: monoclinic

Record 10
Computed, not measured: a geometry-optimized Sc6InHg structure at the PBE-GGA level of DFT.

a b c (Å): 5.173 5.173 8.543
angles (deg): 74.84 74.84 74.03
Atoms (fractional coordinates):
Sc1 0.352 0.352 0.946
Sc2 0.072 0.564 0.297
Sc3 0.648 0.648 0.054
Sc4 0.436 0.928 0.703
Sc5 0.564 0.072 0.297
Sc6 0.928 0.436 0.703
Hg1 0.000 0.000 0.000
In1 0.500 0.500 0.500

Results
Energy above the lowest structure with this stoichiometry (meV/atom): 291
Crystal system: monoclinic
DFT formation energy (eV per atom): 0.0369

Record 11
Computed, not measured: a geometry-optimized LuGa2Os structure at the PBE-GGA level of DFT.

a b c (Å): 4.543 4.543 4.543
angles (deg): 60.00 60.00 60.00
Atoms (fractional coordinates):
Lu1 0.000 0.000 0.000
Os1 0.500 0.500 0.500
Ga1 0.250 0.250 0.250
Ga2 0.750 0.750 0.750

Results
Energy above the lowest structure with this stoichiometry (meV/atom): 15
Crystal system: cubic
DFT formation energy (eV per atom): -0.3197

Record 12
Computed, not measured: a geometry-optimized NaCoHgPb2 structure at the PBE-GGA level of DFT.

a b c (Å): 5.783 4.998 5.783
angles (deg): 90.00 90.00 90.00
Each line ends with the local moment (μB).
Atoms (fractional coordinates):
Pb1 0.500 0.000 0.000  -0.03
Pb2 0.000 0.000 0.500  -0.03
Hg1 0.000 0.000 0.000  -0.02
Co1 0.000 0.500 0.000  1.91
Na1 0.500 0.500 0.500  0.00

Results
Crystal system: tetragonal
DFT formation energy (eV per atom): 0.6985

Record 13
Computed, not measured: a geometry-optimized Mn2HgS4 structure at the PBE-GGA level of DFT.

a b c (Å): 7.378 7.380 7.394
angles (deg): 120.08 120.07 89.75
Each line ends with the local moment (μB).
Atoms (fractional coordinates):
S1 0.391 0.173 0.782  -0.04
S2 0.391 0.609 0.218  -0.04
S3 0.391 0.609 0.782  -0.04
S4 0.423 0.141 0.282  -0.04
S5 0.859 0.577 0.718  -0.04
S6 0.827 0.609 0.218  -0.04
S7 0.859 0.141 0.282  -0.04
S8 0.859 0.141 0.718  -0.04
Mn1 0.625 0.375 0.750  3.69
Mn2 0.125 0.375 0.750  3.69
Mn3 0.625 0.875 0.250  3.69
Mn4 0.625 0.375 0.250  3.69
Hg1 0.000 0.000 0.000  0.06
Hg2 0.250 0.750 0.500  0.06

Results
Energy above the lowest structure with this stoichiometry (meV/atom): 50
Formation energy from raw total energies (meV/atom): -406
Crystal system: tetragonal

Record 14
Computed, not measured: a geometry-optimized B2HF6 structure at the PBE-GGA level of DFT.

a b c (Å): 4.732 7.847 7.847
angles (deg): 69.98 74.02 74.02
Each line ends with the local moment (μB).
Atoms (fractional coordinates):
F1 0.967 0.831 0.371  0.01
F2 0.824 0.362 0.103  0.00
F3 0.533 0.629 0.169  0.01
F4 0.553 0.698 0.526  0.00
F5 0.176 0.638 0.897  0.00
F6 0.467 0.371 0.831  0.01
F7 0.053 0.526 0.698  0.00
F8 0.676 0.897 0.638  0.00
F9 0.324 0.103 0.362  0.00
F10 0.447 0.302 0.474  0.00
F11 0.033 0.169 0.629  0.01
F12 0.947 0.474 0.302  0.00
B1 0.237 0.511 0.807  0.00
B2 0.737 0.807 0.511  0.00
B3 0.263 0.193 0.489  0.00
B4 0.763 0.489 0.193  0.00
H1 0.250 0.066 0.934  0.39
H2 0.750 0.934 0.066  0.39

Results
Crystal system: monoclinic

Record 15
Computed, not measured: a geometry-optimized Pu3As structure at the PBE-GGA level of DFT.

a b c (Å): 4.546 4.546 4.546
angles (deg): 90.00 90.00 90.00
Each line ends with the local moment (μB).
Atoms (fractional coordinates):
Pu1 0.500 0.000 0.500  5.60
Pu2 0.000 0.500 0.500  5.60
Pu3 0.500 0.500 0.000  5.60
As1 0.000 0.000 0.000  -0.12

Results
Energy above the lowest structure with this stoichiometry (meV/atom): 49
Crystal system: cubic
DFT formation energy (eV per atom): -0.3420

Record 16
Computed, not measured: a geometry-optimized Rb2InBi2 structure at the PBE-GGA level of DFT.

a b c (Å): 7.580 8.022 9.503
angles (deg): 114.96 113.50 90.00
Each line ends with the local moment (μB).
Atoms (fractional coordinates):
In1 0.750 0.500 0.000  -0.01
In2 0.250 0.500 0.000  -0.01
Rb1 0.359 0.041 0.718  0.01
Rb2 0.641 0.959 0.282  0.01
Rb3 0.141 0.323 0.282  0.01
Rb4 0.859 0.677 0.718  0.01
Bi1 0.891 0.194 0.783  0.27
Bi2 0.609 0.411 0.217  0.27
Bi3 0.391 0.589 0.783  0.27
Bi4 0.109 0.806 0.217  0.27

Results
Energy above the lowest structure with this stoichiometry (meV/atom): 57
Crystal system: orthorhombic
DFT formation energy (eV per atom): -0.2357

Record 17
Computed, not measured: a geometry-optimized PmPrNd structure at the PBE-GGA level of DFT.

a b c (Å): 4.952 4.952 8.923
angles (deg): 90.00 90.00 90.00
Atoms (fractional coordinates):
Pm1 0.000 0.000 0.000
Pm2 0.500 0.500 0.000
Nd1 0.500 0.000 0.303
Nd2 0.000 0.500 0.697
Pr1 0.000 0.500 0.304
Pr2 0.500 0.000 0.696

Results
Energy above the lowest structure with this stoichiometry (meV/atom): 178
Crystal system: tetragonal
DFT formation energy (eV per atom): 0.1878

Record 18
Computed, not measured: a geometry-optimized Na3Hg5Pd3 structure at the PBE-GGA level of DFT.

a b c (Å): 5.449 8.366 8.366
angles (deg): 120.00 90.00 90.00
Atoms (fractional coordinates):
Pd1 0.500 0.000 0.359
Pd2 0.500 0.359 0.000
Pd3 0.500 0.641 0.641
Hg1 0.500 0.000 0.728
Hg2 0.500 0.667 0.333
Hg3 0.500 0.728 0.000
Hg4 0.500 0.333 0.667
Hg5 0.500 0.272 0.272
Na1 0.000 0.297 0.000
Na2 0.000 0.000 0.297
Na3 0.000 0.703 0.703

Results
Crystal system: hexagonal
DFT formation energy (eV per atom): -0.0658

Record 19
Computed, not measured: a geometry-optimized Na5B7C3 structure at the PBE-GGA level of DFT.

a b c (Å): 11.615 11.615 9.988
angles (deg): 106.94 106.94 14.00
Atoms (fractional coordinates):
Na1 0.901 0.901 0.300
Na2 0.800 0.800 0.602
Na3 0.700 0.700 0.899
Na4 0.301 0.301 0.095
Na5 0.101 0.101 0.699
Na6 0.001 0.001 0.001
Na7 0.501 0.501 0.502
Na8 0.198 0.198 0.402
Na9 0.600 0.600 0.200
Na10 0.401 0.401 0.803
B1 0.220 0.220 0.691
B2 0.586 0.586 0.923
B3 0.424 0.424 0.095
B4 0.924 0.924 0.598
B5 0.017 0.017 0.282
B6 0.380 0.380 0.511
B7 0.992 0.992 0.733
B8 0.680 0.680 0.612
B9 0.772 0.772 0.294
B10 0.611 0.611 0.472
B11 0.884 0.884 0.015
B12 0.316 0.316 0.382
B13 0.814 0.814 0.879
B14 0.180 0.180 0.110
C1 0.117 0.117 0.986
C2 0.080 0.080 0.410
C3 0.486 0.486 0.219
C4 0.712 0.712 0.174
C5 0.282 0.282 0.817
C6 0.523 0.523 0.795

Results
Energy above the lowest structure with this stoichiometry (meV/atom): 6
Crystal system: monoclinic
DFT formation energy (eV per atom): 0.1192

Record 20
Computed, not measured: a geometry-optimized Y4UN4 structure at the PBE-GGA level of DFT.

a b c (Å): 4.959 6.017 6.018
angles (deg): 80.25 65.70 65.71
Each line ends with the local moment (μB).
Atoms (fractional coordinates):
Y1 0.193 0.204 0.411  0.06
Y2 0.603 0.589 0.204  0.06
Y3 0.397 0.411 0.796  0.06
Y4 0.807 0.796 0.589  0.06
N1 0.092 0.627 0.190  -0.03
N2 0.282 0.810 0.627  -0.03
N3 0.908 0.373 0.810  -0.03
N4 0.718 0.190 0.373  -0.03
U1 0.000 0.000 0.000  1.42

Results
Formation energy from raw total energies (meV/atom): -1342
Crystal system: tetragonal

no.,electronic total energy (eV per atom),Fermi-level density of states (states/eV/atom)
1,-2.3654,0.48
2,-3.2550,0.00
3,-11.1334,0.79
4,-4.3395,1.57
5,-7.1625,1.12
6,-3.2512,0.31
7,-3.4709,0.53
8,-6.3382,0.76
9,-3.8687,0.19
10,-5.0918,1.58
11,-5.7708,0.42
12,-2.5301,0.91
13,-5.4273,0.52
14,-5.3080,0.00
15,-12.2533,4.42
16,-2.7228,0.96
17,-4.5782,1.17
18,-1.9789,0.17
19,-5.2814,0.27
20,-9.1695,1.02